1.
Computed, not measured: crystalline NdScPb2 at its relaxed geometry at the PBE level of DFT.

Structure (POSCAR):
```
NdScPb2
1.0
-3.231 0.448 3.739
-0.246 -3.508 3.500
2.570 1.617 5.319
Pb Nd Sc
2 1 1
direct
0.761 0.761 0.717 Pb
0.239 0.239 0.283 Pb
0.000 0.000 0.000 Nd
0.500 0.500 0.500 Sc
```

Output
- spin magnetization (μB/atom) = 0.00
- crystal system = trigonal
- DFT formation energy (meV/atom) = -414.4

2.
Computed, not measured: crystalline NdScSnPb at its relaxed geometry at the PBE level of DFT.

Structure (POSCAR):
```
NdScSnPb
1.0
5.359 0.000 0.000
2.680 4.641 0.000
2.680 1.547 4.376
Sc Pb Nd Sn
1 1 1 1
direct
0.500 0.500 0.500 Sc
0.750 0.750 0.750 Pb
0.000 0.000 0.000 Nd
0.250 0.250 0.250 Sn
```

Output
- spin magnetization (μB/atom) = 0.00
- crystal system = cubic
- DFT formation energy (meV/atom) = -410.0

3.
Computed, not measured: crystalline NdScTlPb at its relaxed geometry at the PBE level of DFT.

Structure (POSCAR):
```
NdScTlPb
1.0
-2.298 2.428 4.203
-4.898 2.149 -0.488
-4.192 -2.285 2.460
Tl Pb Sc Nd
1 1 1 1
direct
0.750 0.750 0.750 Tl
0.250 0.250 0.250 Pb
0.000 0.000 0.000 Sc
0.500 0.500 0.500 Nd
```

Output
- spin magnetization (μB/atom) = 0.00
- crystal system = cubic
- DFT formation energy (meV/atom) = -317.7

4.
Computed, not measured: crystalline NdPbSe2 at its relaxed geometry at the PBE level of DFT.

Structure (POSCAR):
```
NdPbSe2
1.0
-4.318 -0.506 0.529
-2.425 -1.656 -3.249
-1.188 -7.160 1.586
Se Pb Nd
2 1 1
direct
0.248 0.248 0.257 Se
0.752 0.752 0.743 Se
0.000 0.000 0.000 Pb
0.500 0.500 0.500 Nd
```

Output
- energy above the most stable polymorph in this dataset (meV/atom) = 23
- spin magnetization (μB/atom) = 0.00
- crystal system = trigonal
- formation energy without anion corrections (eV/f.u.) = -4.3

5.
Computed, not measured: crystalline Nd3PbSe at its relaxed geometry at the PBE level of DFT.

Structure (POSCAR):
```
Nd3PbSe
1.0
4.347 0.000 0.000
0.000 8.931 0.000
0.000 0.000 15.906
Nd Se Pb
12 4 4
direct
0.750 0.156 0.033 Nd
0.250 0.844 0.967 Nd
0.750 0.523 0.891 Nd
0.750 0.324 0.284 Nd
0.750 0.824 0.216 Nd
0.750 0.023 0.609 Nd
0.250 0.676 0.716 Nd
0.250 0.344 0.533 Nd
0.250 0.477 0.109 Nd
0.750 0.656 0.467 Nd
0.250 0.977 0.391 Nd
0.250 0.176 0.784 Nd
0.750 0.682 0.053 Se
0.250 0.818 0.553 Se
0.250 0.318 0.947 Se
0.750 0.182 0.447 Se
0.750 0.899 0.812 Pb
0.750 0.399 0.688 Pb
0.250 0.601 0.312 Pb
0.250 0.101 0.188 Pb
```

Output
- energy above the most stable polymorph in this dataset (meV/atom) = 0
- spin magnetization (μB/atom) = 0.00
- crystal system = orthorhombic
- formation energy without anion corrections (eV/f.u.) = -4.9

6.
Computed, not measured: crystalline Nd2PbSe at its relaxed geometry at the PBE level of DFT.

Structure (POSCAR):
```
Nd2PbSe
1.0
-2.643 -2.282 -5.197
5.360 -2.889 -1.458
-3.721 -10.094 6.324
Se Nd Pb
4 8 4
direct
0.750 0.500 0.875 Se
0.250 0.000 0.375 Se
0.250 0.500 0.125 Se
0.750 0.000 0.625 Se
0.250 0.000 0.618 Nd
0.750 0.000 0.382 Nd
0.750 0.000 0.869 Nd
0.750 0.500 0.631 Nd
0.250 0.500 0.882 Nd
0.750 0.500 0.118 Nd
0.250 0.000 0.131 Nd
0.250 0.500 0.369 Nd
0.250 0.000 0.875 Pb
0.750 0.500 0.375 Pb
0.250 0.500 0.625 Pb
0.750 0.000 0.125 Pb
```

Output
- energy above the most stable polymorph in this dataset (meV/atom) = 0
- spin magnetization (μB/atom) = 0.00
- crystal system = tetragonal
- formation energy without anion corrections (eV/f.u.) = -4.8

7.
Computed, not measured: crystalline Nd2PbSe at its relaxed geometry at the PBE level of DFT.

Structure (POSCAR):
```
Nd2PbSe
1.0
-0.111 1.429 3.785
-3.362 1.766 1.399
-3.959 -6.455 4.486
Nd Pb Se
2 1 1
direct
0.263 0.263 0.211 Nd
0.070 0.070 0.789 Nd
0.499 0.499 0.502 Pb
0.667 0.667 0.998 Se
```

Output
- energy above the most stable polymorph in this dataset (meV/atom) = 88
- spin magnetization (μB/atom) = 0.00
- crystal system = trigonal
- formation energy without anion corrections (eV/f.u.) = -4.5

8.
Computed, not measured: crystalline Nd2PbSe at its relaxed geometry at the PBE level of DFT.

Structure (POSCAR):
```
Nd2PbSe
1.0
-3.070 -0.620 -3.071
-4.132 -0.887 1.176
-3.915 6.646 -0.561
Nd Se Pb
2 1 1
direct
0.255 0.255 0.236 Nd
0.745 0.745 0.764 Nd
0.000 0.000 0.000 Se
0.500 0.500 0.500 Pb
```

Output
- energy above the most stable polymorph in this dataset (meV/atom) = 24
- spin magnetization (μB/atom) = 0.00
- crystal system = trigonal
- formation energy without anion corrections (eV/f.u.) = -4.7

9.
Computed, not measured: crystalline Nd2PbSe at its relaxed geometry at the PBE level of DFT.

Structure (POSCAR):
```
Nd2PbSe
1.0
3.633 0.000 0.000
0.000 3.633 0.000
0.000 0.000 8.295
Se Pb Nd
1 1 2
direct
0.500 0.500 0.000 Se
0.500 0.500 0.500 Pb
0.000 0.000 0.774 Nd
0.000 0.000 0.226 Nd
```

Output
- energy above the most stable polymorph in this dataset (meV/atom) = 145
- spin magnetization (μB/atom) = 0.00
- crystal system = tetragonal
- formation energy without anion corrections (eV/f.u.) = -4.2

10.
Computed, not measured: crystalline NdPbSe2 at its relaxed geometry at the PBE level of DFT.

Structure (POSCAR):
```
NdPbSe2
1.0
-3.847 -1.043 1.112
-1.520 -3.707 -1.036
0.941 -4.562 6.675
Se Nd Pb
2 1 1
direct
0.087 0.087 0.738 Se
0.247 0.247 0.259 Se
0.500 0.500 0.499 Nd
0.666 0.666 0.003 Pb
```

Output
- energy above the most stable polymorph in this dataset (meV/atom) = 0
- spin magnetization (μB/atom) = 0.20
- crystal system = trigonal
- formation energy without anion corrections (eV/f.u.) = -4.4

11.
Computed, not measured: crystalline NdPb2Se at its relaxed geometry at the PBE level of DFT.

Structure (POSCAR):
```
NdPb2Se
1.0
6.386 0.000 0.000
3.193 4.687 -0.946
3.193 -0.340 4.629
Pb Se Nd
2 1 1
direct
0.486 0.621 0.406 Pb
0.014 0.879 0.094 Pb
0.250 0.250 0.250 Se
0.750 0.750 0.750 Nd
```

Output
- spin magnetization (μB/atom) = 0.00
- crystal system = monoclinic
- formation energy without anion corrections (eV/f.u.) = -1.5

12.
Computed, not measured: crystalline Nd3Pb2Se at its relaxed geometry at the PBE level of DFT.

Structure (POSCAR):
```
Nd3Pb2Se
1.0
-3.972 -0.621 -1.705
0.004 -5.968 2.165
-0.857 5.413 5.616
Nd Pb Se
3 2 1
direct
0.845 0.845 0.691 Nd
0.155 0.155 0.309 Nd
0.500 0.500 0.000 Nd
0.831 0.331 0.662 Pb
0.169 0.669 0.338 Pb
0.500 0.000 0.000 Se
```

Output
- spin magnetization (μB/atom) = 0.00
- crystal system = orthorhombic
- formation energy without anion corrections (eV/f.u.) = -5.7

13.
Computed, not measured: crystalline Nd3PbSe at its relaxed geometry at the PBE level of DFT.

Structure (POSCAR):
```
Nd3PbSe
1.0
6.935 0.000 0.000
0.000 9.523 -0.770
0.000 -4.363 10.234
Nd Pb Se
12 4 4
direct
0.312 0.083 0.679 Nd
0.087 0.718 0.664 Nd
0.413 0.218 0.164 Nd
0.583 0.672 0.468 Nd
0.587 0.782 0.836 Nd
0.417 0.328 0.532 Nd
0.083 0.828 0.032 Nd
0.917 0.172 0.968 Nd
0.188 0.583 0.179 Nd
0.913 0.282 0.336 Nd
0.812 0.417 0.821 Nd
0.688 0.917 0.321 Nd
0.794 0.010 0.652 Pb
0.294 0.490 0.848 Pb
0.206 0.990 0.348 Pb
0.706 0.510 0.152 Pb
0.235 0.493 0.398 Se
0.765 0.507 0.602 Se
0.265 0.993 0.898 Se
0.735 0.007 0.102 Se
```

Output
- energy above the most stable polymorph in this dataset (meV/atom) = 139
- spin magnetization (μB/atom) = 0.00
- crystal system = monoclinic
- formation energy without anion corrections (eV/f.u.) = -4.2

14.
Computed, not measured: crystalline Nd6PbSe4 at its relaxed geometry at the PBE level of DFT.

Structure (POSCAR):
```
Nd6PbSe4
1.0
-0.163 -4.152 1.207
4.980 3.257 4.121
-15.100 4.795 14.458
Pb Nd Se
2 12 8
direct
0.662 0.324 0.250 Pb
0.338 0.676 0.750 Pb
0.500 0.000 0.500 Nd
0.771 0.542 0.085 Nd
0.229 0.458 0.585 Nd
0.771 0.542 0.415 Nd
0.043 0.086 0.163 Nd
0.229 0.458 0.915 Nd
0.333 0.666 0.250 Nd
0.957 0.914 0.837 Nd
0.500 0.000 0.000 Nd
0.667 0.334 0.750 Nd
0.957 0.914 0.663 Nd
0.043 0.086 0.337 Nd
0.407 0.814 0.376 Se
0.863 0.726 0.960 Se
0.137 0.274 0.040 Se
0.137 0.274 0.460 Se
0.407 0.814 0.124 Se
0.863 0.726 0.540 Se
0.593 0.186 0.876 Se
0.593 0.186 0.624 Se
```

Output
- spin magnetization (μB/atom) = 0.01
- crystal system = orthorhombic
- formation energy without anion corrections (eV/f.u.) = -16.0

15.
Computed, not measured: crystalline Nd5Pb2Se2 at its relaxed geometry at the PBE level of DFT.

Structure (POSCAR):
```
Nd5Pb2Se2
1.0
-3.758 -4.133 -6.202
7.372 -4.595 -1.406
-6.383 -2.485 5.524
Pb Nd Se
4 10 4
direct
0.500 0.706 0.294 Pb
0.000 0.794 0.206 Pb
0.000 0.206 0.794 Pb
0.500 0.294 0.706 Pb
0.661 0.288 0.034 Nd
0.500 0.500 0.500 Nd
0.161 0.466 0.212 Nd
0.339 0.712 0.966 Nd
0.839 0.788 0.534 Nd
0.339 0.966 0.712 Nd
0.661 0.034 0.288 Nd
0.000 0.000 0.000 Nd
0.839 0.534 0.788 Nd
0.161 0.212 0.466 Nd
0.357 0.142 0.142 Se
0.857 0.358 0.358 Se
0.643 0.858 0.858 Se
0.143 0.642 0.642 Se
```

Output
- spin magnetization (μB/atom) = 0.00
- crystal system = orthorhombic
- formation energy without anion corrections (eV/f.u.) = -8.9

16.
Computed, not measured: crystalline NdPb2Se4 at its relaxed geometry at the PBE level of DFT.

Structure (POSCAR):
```
NdPb2Se4
1.0
-0.656 -4.148 0.366
3.742 0.991 -6.335
11.895 -1.279 6.826
Nd Pb Se
2 4 8
direct
0.398 0.797 0.250 Nd
0.602 0.203 0.750 Nd
0.135 0.270 0.061 Pb
0.865 0.730 0.939 Pb
0.865 0.730 0.561 Pb
0.135 0.270 0.439 Pb
0.214 0.428 0.638 Se
0.956 0.912 0.750 Se
0.786 0.572 0.362 Se
0.786 0.572 0.138 Se
0.500 0.000 0.000 Se
0.044 0.088 0.250 Se
0.214 0.428 0.862 Se
0.500 0.000 0.500 Se
```

Output
- spin magnetization (μB/atom) = 0.00
- crystal system = orthorhombic
- formation energy without anion corrections (eV/f.u.) = -6.3

17.
Computed, not measured: crystalline Nd6Si2PbSe3 at its relaxed geometry at the PBE level of DFT.

Structure (POSCAR):
```
Nd6Si2PbSe3
1.0
-0.514 2.169 -3.665
7.055 -3.910 -3.302
-6.807 -6.846 -0.586
Pb Si Nd Se
1 2 6 3
direct
0.500 0.000 0.000 Pb
0.167 0.335 0.334 Si
0.833 0.665 0.666 Si
0.004 0.264 0.008 Nd
0.330 0.423 0.659 Nd
0.670 0.577 0.341 Nd
0.328 0.903 0.657 Nd
0.996 0.736 0.992 Nd
0.672 0.097 0.343 Nd
0.165 0.832 0.331 Se
0.500 0.500 0.000 Se
0.835 0.168 0.669 Se
```

Output
- spin magnetization (μB/atom) = 0.00
- crystal system = monoclinic
- formation energy without anion corrections (eV/f.u.) = -15.0

18.
Computed, not measured: crystalline NdSmPbSe at its relaxed geometry at the PBE level of DFT.

Structure (POSCAR):
```
NdSmPbSe
1.0
-1.231 -4.203 0.323
2.644 -1.031 -3.350
4.662 -1.058 4.004
Nd Sm Se Pb
1 1 1 1
direct
0.500 0.391 0.093 Nd
0.000 0.892 0.592 Sm
0.000 0.891 0.092 Se
0.500 0.392 0.593 Pb
```

Output
- spin magnetization (μB/atom) = 0.00
- crystal system = tetragonal
- formation energy without anion corrections (eV/f.u.) = -4.7

19.
Computed, not measured: crystalline Nd6Sn2PbSe3 at its relaxed geometry at the PBE level of DFT.

Structure (POSCAR):
```
Nd6Sn2PbSe3
1.0
-3.448 0.289 -2.695
-3.583 -7.129 3.820
-1.671 7.250 6.483
Nd Se Pb Sn
6 3 1 2
direct
0.002 0.742 0.005 Nd
0.335 0.413 0.670 Nd
0.665 0.587 0.330 Nd
0.998 0.258 0.995 Nd
0.670 0.079 0.340 Nd
0.330 0.921 0.660 Nd
0.500 0.500 0.000 Se
0.833 0.167 0.667 Se
0.167 0.833 0.333 Se
0.500 0.000 0.000 Pb
0.166 0.333 0.333 Sn
0.834 0.667 0.667 Sn
```

Output
- spin magnetization (μB/atom) = 0.00
- crystal system = monoclinic
- formation energy without anion corrections (eV/f.u.) = -15.0

20.
Computed, not measured: crystalline Sr2NdPbSe4 at its relaxed geometry at the PBE level of DFT.

Structure (POSCAR):
```
Sr2NdPbSe4
1.0
4.362 0.000 0.000
0.000 7.622 0.147
0.000 -2.649 7.094
Se Sr Nd Pb
4 2 1 1
direct
0.000 0.743 0.242 Se
0.500 0.254 0.244 Se
0.000 0.257 0.758 Se
0.500 0.746 0.756 Se
0.500 0.000 0.500 Sr
0.000 0.500 0.500 Sr
0.500 0.500 0.000 Nd
0.000 0.000 0.000 Pb
```

Output
- spin magnetization (μB/atom) = 0.00
- crystal system = monoclinic
- formation energy without anion corrections (eV/f.u.) = -12.6